CsRbEr2O4 | PBE | optimized geometry

Cell and atoms, written as CIF:
```
data_CsRbEr2O4
_symmetry_space_group_name_H-M 'P -6 m 2'
_symmetry_Int_Tables_number 187
_symmetry_space_group_name_Hall 'P -6 2'
_cell_length_a 3.4836
_cell_length_b 3.4836
_cell_length_c 14.7559
_cell_angle_alpha 90.00
_cell_angle_beta 90.00
_cell_angle_gamma 120.00
loop_
_atom_site_label
_atom_site_fract_x
_atom_site_fract_y
_atom_site_fract_z
Cs1 0.0000 0.0000 0.0000
Rb1 0.6667 0.3333 0.5000
Er1 0.3333 0.6667 0.2542
O1 0.0000 0.0000 0.1797
O2 0.6667 0.3333 0.3285
```

Values from the calculation:
VASP energy	-6.31	eV/atom